First-principles (GGA-PBE) data for an optimized crystal structure of HgPbSe2, as listed in Alexandria.

Summary:
For the energy above the most stable polymorph in this dataset, the calculation gives 0 meV/atom. The formation energy without anion corrections comes out at -1.2 eV/f.u. For the calculated density, the calculation gives 6.1 g/cm3. As for the symmetry: P3_221, No. 154.

abc: 4.7625 4.7625 23.4917
angles: 90.00 90.00 120.00
Positions (direct):
Hg 0.0000 0.3350 0.3333
Hg 0.3350 0.0000 0.6667
Hg 0.6650 0.6650 0.0000
Pb 0.0000 0.3290 0.8333
Pb 0.3290 0.0000 0.1667
Pb 0.6710 0.6710 0.5000
Se 0.0041 0.3374 0.4383
Se 0.3333 0.9959 0.7717
Se 0.3374 0.0041 0.5617
Se 0.6626 0.6667 0.1050
Se 0.6667 0.6626 0.8950
Se 0.9959 0.3333 0.2283